No. 1
Density functional theory data (PBE-GGA) for a geometry-optimized Nd12Tl5In2 structure.

Unit cell a=8.087 b=9.274 c=9.346 alpha=83.75 beta=90.00 gamma=115.85
Sites, in units of the cell vectors:
Nd (0.954, 0.909, 0.180)
Nd (0.049, 0.661, 0.882)
Nd (0.612, 0.661, 0.882)
Nd (0.111, 0.710, 0.466)
Nd (0.599, 0.710, 0.466)
Nd (0.473, 0.947, 0.688)
Nd (0.527, 0.053, 0.312)
Nd (0.889, 0.290, 0.534)
Nd (0.401, 0.290, 0.534)
Nd (0.951, 0.339, 0.118)
Nd (0.388, 0.339, 0.118)
Nd (0.046, 0.091, 0.820)
Tl (0.248, 0.496, 0.718)
Tl (0.336, 0.672, 0.182)
Tl (0.000, 0.000, 0.500)
Tl (0.664, 0.328, 0.818)
Tl (0.752, 0.504, 0.282)
In (0.677, 0.000, 0.000)
In (0.323, 0.000, 0.000)

Total magnetization ... 0.00 μB per formula unit
Energy ... -4.06 eV per atom
Space-group type ... C2/m
Energy relative to the elements ... -134.1 meV per atom



No. 2
Density functional theory data (PBE-GGA) for a geometry-optimized Nd5TlIn3 structure.

Unit cell a=6.793 b=9.655 c=9.655 alpha=120.00 beta=90.00 gamma=90.00
Sites, in units of the cell vectors:
Nd (0.000, 0.667, 0.333)
Nd (0.500, 0.333, 0.667)
Nd (0.000, 0.333, 0.667)
Nd (0.500, 0.667, 0.333)
Nd (0.750, 0.706, 0.706)
Nd (0.750, 0.000, 0.294)
Nd (0.750, 0.294, 0.000)
Nd (0.250, 0.294, 0.294)
Nd (0.250, 0.000, 0.706)
Nd (0.250, 0.706, 0.000)
Tl (0.000, 0.000, 0.000)
Tl (0.500, 0.000, 0.000)
In (0.750, 0.368, 0.368)
In (0.750, 0.000, 0.632)
In (0.750, 0.632, 0.000)
In (0.250, 0.632, 0.632)
In (0.250, 0.000, 0.368)
In (0.250, 0.368, 0.000)

Total magnetization ... 0.00 μB per formula unit
Energy ... -4.24 eV per atom
Space-group type ... P6_3/mcm
Energy relative to the elements ... -412.8 meV per atom



No. 3
Density functional theory data (PBE-GGA) for a geometry-optimized Nd9Tl2In structure.

Unit cell a=4.992 b=4.992 c=14.980 alpha=90.00 beta=90.00 gamma=90.00
Sites, in units of the cell vectors:
Nd (0.500, 0.500, 0.000)
Nd (0.500, 0.500, 0.333)
Nd (0.500, 0.500, 0.667)
Nd (0.500, 0.000, 0.166)
Nd (0.500, 0.000, 0.500)
Nd (0.500, 0.000, 0.834)
Nd (0.000, 0.500, 0.166)
Nd (0.000, 0.500, 0.500)
Nd (0.000, 0.500, 0.834)
Tl (0.000, 0.000, 0.333)
Tl (0.000, 0.000, 0.667)
In (0.000, 0.000, 0.000)

Total magnetization ... 0.03 μB per formula unit
Energy ... -4.43 eV per atom
Space-group type ... P4/mmm
Energy relative to the elements ... -227.9 meV per atom



No. 4
Density functional theory data (PBE-GGA) for a geometry-optimized Nd3Tl3In structure.

Unit cell a=5.459 b=9.373 c=9.373 alpha=120.00 beta=90.00 gamma=90.00
Sites, in units of the cell vectors:
Nd (0.750, 0.649, 0.549)
Nd (0.750, 0.451, 0.100)
Nd (0.750, 0.900, 0.351)
Nd (0.250, 0.351, 0.451)
Nd (0.250, 0.549, 0.900)
Nd (0.250, 0.100, 0.649)
Tl (0.250, 0.811, 0.760)
Tl (0.250, 0.240, 0.051)
Tl (0.250, 0.949, 0.189)
Tl (0.750, 0.189, 0.240)
Tl (0.750, 0.760, 0.949)
Tl (0.750, 0.051, 0.811)
In (0.250, 0.667, 0.333)
In (0.750, 0.333, 0.667)

Excess energy over the best structure of this formula in the dataset ... 58.4 meV per atom
Total magnetization ... 0.00 μB per formula unit
Energy ... -3.75 eV per atom
Space-group type ... P6_3/m
Energy relative to the elements ... -300.5 meV per atom



No. 5
Density functional theory data (PBE-GGA) for a geometry-optimized Nd10Tl3In3 structure.

Unit cell a=6.757 b=9.388 c=9.388 alpha=120.00 beta=90.00 gamma=90.00
Sites, in units of the cell vectors:
Nd (0.251, 0.667, 0.333)
Nd (0.251, 0.333, 0.667)
Nd (0.749, 0.333, 0.667)
Nd (0.749, 0.667, 0.333)
Nd (0.500, 0.000, 0.764)
Nd (0.500, 0.764, 0.000)
Nd (0.500, 0.236, 0.236)
Nd (0.000, 0.000, 0.236)
Nd (0.000, 0.236, 0.000)
Nd (0.000, 0.764, 0.764)
Tl (0.000, 0.000, 0.600)
Tl (0.000, 0.600, 0.000)
Tl (0.000, 0.400, 0.400)
In (0.500, 0.000, 0.401)
In (0.500, 0.401, 0.000)
In (0.500, 0.599, 0.599)

Total magnetization ... 0.00 μB per formula unit
Energy ... -4.25 eV per atom
Space-group type ... P-62m
Energy relative to the elements ... -314.3 meV per atom



No. 6
Density functional theory data (PBE-GGA) for a geometry-optimized Nd6Tl3In2 structure.

Unit cell a=6.003 b=6.003 c=11.698 alpha=104.87 beta=104.87 gamma=90.00
Sites, in units of the cell vectors:
Nd (0.089, 0.589, 0.177)
Nd (0.589, 0.089, 0.177)
Nd (0.911, 0.411, 0.823)
Nd (0.411, 0.911, 0.823)
Nd (0.704, 0.704, 0.407)
Nd (0.296, 0.296, 0.593)
Tl (0.000, 0.000, 0.000)
Tl (0.846, 0.846, 0.692)
Tl (0.154, 0.154, 0.308)
In (0.437, 0.437, 0.874)
In (0.563, 0.563, 0.126)

Total magnetization ... 0.00 μB per formula unit
Energy ... -3.75 eV per atom
Space-group type ... I4/mmm
Energy relative to the elements ... -2.7 meV per atom



No. 7
Density functional theory data (PBE-GGA) for a geometry-optimized NdTm5TlIn2 structure.

Unit cell a=8.495 b=8.495 c=9.272 alpha=117.26 beta=117.26 gamma=90.00
Sites, in units of the cell vectors:
Nd (0.250, 0.750, 0.500)
Nd (0.750, 0.250, 0.500)
Tm (0.925, 0.425, 0.268)
Tm (0.657, 0.157, 0.732)
Tm (0.075, 0.575, 0.732)
Tm (0.157, 0.075, 0.732)
Tm (0.575, 0.657, 0.732)
Tm (0.843, 0.925, 0.268)
Tm (0.425, 0.343, 0.268)
Tm (0.343, 0.843, 0.268)
Tm (0.500, 0.500, 0.000)
Tm (0.000, 0.000, 0.000)
Tl (0.250, 0.250, 0.500)
Tl (0.750, 0.750, 0.500)
In (0.111, 0.389, 0.000)
In (0.611, 0.111, 0.000)
In (0.389, 0.889, 0.000)
In (0.889, 0.611, 0.000)

Total magnetization ... 0.00 μB per formula unit
Energy ... -3.91 eV per atom
Space-group type ... I4/mcm
Energy relative to the elements ... -21.9 meV per atom



No. 8
Density functional theory data (PBE-GGA) for a geometry-optimized NdTmTlIn structure.

Unit cell a=5.396 b=5.396 c=5.396 alpha=60.00 beta=60.00 gamma=60.00
Sites, in units of the cell vectors:
Tl (0.000, 0.000, 0.000)
Tm (0.250, 0.250, 0.250)
Nd (0.750, 0.750, 0.750)
In (0.500, 0.500, 0.500)

Total magnetization ... 0.00 μB per formula unit
Energy ... -3.98 eV per atom
Space-group type ... F-43m
Energy relative to the elements ... -397.1 meV per atom



No. 9
Density functional theory data (PBE-GGA) for a geometry-optimized Nd5YTl2In structure.

Unit cell a=8.791 b=8.791 c=9.646 alpha=117.11 beta=117.11 gamma=90.00
Sites, in units of the cell vectors:
Nd (0.928, 0.428, 0.272)
Nd (0.656, 0.156, 0.728)
Nd (0.072, 0.572, 0.728)
Nd (0.156, 0.072, 0.728)
Nd (0.572, 0.656, 0.728)
Nd (0.844, 0.928, 0.272)
Nd (0.428, 0.344, 0.272)
Nd (0.344, 0.844, 0.272)
Nd (0.500, 0.500, 0.000)
Nd (0.000, 0.000, 0.000)
Y (0.250, 0.750, 0.500)
Y (0.750, 0.250, 0.500)
Tl (0.112, 0.388, 0.000)
Tl (0.612, 0.112, 0.000)
Tl (0.388, 0.888, 0.000)
Tl (0.888, 0.612, 0.000)
In (0.250, 0.250, 0.500)
In (0.750, 0.750, 0.500)

Total magnetization ... 0.00 μB per formula unit
Energy ... -4.26 eV per atom
Space-group type ... I4/mcm
Energy relative to the elements ... -62.4 meV per atom



No. 10
Density functional theory data (PBE-GGA) for a geometry-optimized Nd5YTlIn2 structure.

Unit cell a=8.886 b=8.886 c=9.519 alpha=117.82 beta=117.82 gamma=90.00
Sites, in units of the cell vectors:
Nd (0.926, 0.426, 0.267)
Nd (0.659, 0.159, 0.733)
Nd (0.074, 0.574, 0.733)
Nd (0.159, 0.074, 0.733)
Nd (0.574, 0.659, 0.733)
Nd (0.841, 0.926, 0.267)
Nd (0.426, 0.341, 0.267)
Nd (0.341, 0.841, 0.267)
Nd (0.500, 0.500, 0.000)
Nd (0.000, 0.000, 0.000)
Y (0.250, 0.750, 0.500)
Y (0.750, 0.250, 0.500)
Tl (0.250, 0.250, 0.500)
Tl (0.750, 0.750, 0.500)
In (0.108, 0.392, 0.000)
In (0.608, 0.108, 0.000)
In (0.392, 0.892, 0.000)
In (0.892, 0.608, 0.000)

Total magnetization ... 0.00 μB per formula unit
Energy ... -4.35 eV per atom
Space-group type ... I4/mcm
Energy relative to the elements ... -107.9 meV per atom



No. 11
Density functional theory data (PBE-GGA) for a geometry-optimized Nd2Tm2In7 structure.

Unit cell a=6.798 b=7.856 c=6.798 alpha=90.00 beta=103.96 gamma=90.00
Sites, in units of the cell vectors:
Nd (0.694, 0.000, 0.306)
Nd (0.306, 0.000, 0.694)
Tm (0.811, 0.500, 0.811)
Tm (0.189, 0.500, 0.189)
In (0.000, 0.304, 0.500)
In (0.500, 0.696, 0.000)
In (0.000, 0.696, 0.500)
In (0.500, 0.304, 0.000)
In (0.000, 0.000, 0.000)
In (0.500, 0.694, 0.500)
In (0.500, 0.306, 0.500)

Total magnetization ... 0.00 μB per formula unit
Energy ... -3.41 eV per atom
Space-group type ... Cmmm
Energy relative to the elements ... 12.5 meV per atom



No. 12
Density functional theory data (PBE-GGA) for a geometry-optimized NdTmIn2 structure.

Unit cell a=5.372 b=5.372 c=5.372 alpha=59.99 beta=59.99 gamma=59.99
Sites, in units of the cell vectors:
Tm (0.750, 0.750, 0.750)
Nd (0.250, 0.250, 0.250)
In (0.000, 0.000, 0.000)
In (0.500, 0.500, 0.500)

Total magnetization ... 0.00 μB per formula unit
Energy ... -4.14 eV per atom
Space-group type ... Fm-3m
Energy relative to the elements ... -456.0 meV per atom



No. 13
Density functional theory data (PBE-GGA) for a geometry-optimized Nd2Tm3In2 structure.

Unit cell a=3.769 b=10.943 c=5.474 alpha=75.72 beta=89.99 gamma=99.91
Sites, in units of the cell vectors:
Nd (0.893, 0.786, 0.605)
Nd (0.107, 0.214, 0.395)
Tm (0.000, 0.000, 0.000)
Tm (0.755, 0.511, 0.245)
Tm (0.245, 0.489, 0.755)
In (0.625, 0.249, 0.877)
In (0.375, 0.751, 0.123)

Total magnetization ... 0.00 μB per formula unit
Energy ... -4.23 eV per atom
Space-group type ... C2/m
Energy relative to the elements ... -164.1 meV per atom



No. 14
Density functional theory data (PBE-GGA) for a geometry-optimized Nd4Tm2In structure.

Unit cell a=9.462 b=8.601 c=7.982 alpha=137.09 beta=88.58 gamma=89.42
Sites, in units of the cell vectors:
Nd (0.833, 0.113, 0.342)
Nd (0.417, 0.709, 0.230)
Nd (0.922, 0.679, 0.686)
Nd (0.688, 0.991, 0.640)
Nd (0.195, 0.992, 0.144)
Nd (0.328, 0.143, 0.886)
Nd (0.562, 0.831, 0.931)
Nd (0.055, 0.829, 0.427)
Tm (0.473, 0.279, 0.577)
Tm (0.777, 0.543, 0.995)
Tm (0.625, 0.411, 0.286)
Tm (0.125, 0.411, 0.786)
In (0.279, 0.563, 0.522)
In (0.971, 0.259, 0.049)

Excess energy over the best structure of this formula in the dataset ... 0.0 meV per atom
Total magnetization ... 0.00 μB per formula unit
Energy ... -4.49 eV per atom
Space-group type ... P-1
Energy relative to the elements ... -97.6 meV per atom



No. 15
Density functional theory data (PBE-GGA) for a geometry-optimized NdTm6In3 structure.

Unit cell a=6.760 b=9.339 c=9.339 alpha=97.24 beta=90.00 gamma=90.00
Sites, in units of the cell vectors:
Nd (0.107, 0.293, 0.707)
Nd (0.607, 0.707, 0.293)
Tm (0.107, 0.749, 0.694)
Tm (0.607, 0.694, 0.749)
Tm (0.283, 0.556, 0.986)
Tm (0.783, 0.986, 0.556)
Tm (0.362, 0.923, 0.077)
Tm (0.592, 0.307, 0.693)
Tm (0.092, 0.693, 0.307)
Tm (0.862, 0.077, 0.923)
Tm (0.283, 0.014, 0.444)
Tm (0.783, 0.444, 0.014)
Tm (0.107, 0.306, 0.251)
Tm (0.607, 0.251, 0.306)
In (0.399, 0.003, 0.763)
In (0.899, 0.763, 0.003)
In (0.348, 0.501, 0.499)
In (0.848, 0.499, 0.501)
In (0.899, 0.997, 0.237)
In (0.399, 0.237, 0.997)

Total magnetization ... 0.00 μB per formula unit
Energy ... -4.16 eV per atom
Space-group type ... Cmc2_1
Energy relative to the elements ... -177.9 meV per atom



No. 16
Density functional theory data (PBE-GGA) for a geometry-optimized NdTmIn2 structure.

Unit cell a=3.716 b=3.716 c=10.063 alpha=79.36 beta=79.36 gamma=60.00
Sites, in units of the cell vectors:
Tm (0.000, 0.000, 0.000)
Nd (0.500, 0.500, 0.500)
In (0.747, 0.747, 0.759)
In (0.253, 0.253, 0.241)

Total magnetization ... 0.00 μB per formula unit
Energy ... -3.98 eV per atom
Space-group type ... R-3m
Energy relative to the elements ... -301.9 meV per atom



No. 17
Density functional theory data (PBE-GGA) for a geometry-optimized Nd5TmIn3 structure.

Unit cell a=6.893 b=9.570 c=9.572 alpha=119.99 beta=90.00 gamma=90.00
Last column: magnetic moment on the atom in μB.
Sites, in units of the cell vectors:
Nd (0.000, 0.667, 0.334)  0.07
Nd (0.500, 0.333, 0.666)  0.07
Nd (0.000, 0.333, 0.666)  0.07
Nd (0.500, 0.667, 0.334)  0.07
Nd (0.750, 0.663, 0.663)  0.04
Nd (0.750, 0.000, 0.337)  0.04
Nd (0.750, 0.337, 0.000)  0.04
Nd (0.250, 0.337, 0.337)  0.04
Nd (0.250, 0.000, 0.663)  0.04
Nd (0.250, 0.663, 0.000)  0.04
Tm (0.000, 0.000, 0.000)  0.03
Tm (0.500, 0.000, 0.000)  0.03
In (0.750, 0.325, 0.325)  0.00
In (0.750, 0.000, 0.675)  0.00
In (0.750, 0.675, 0.000)  0.00
In (0.250, 0.675, 0.675)  0.00
In (0.250, 0.000, 0.325)  0.00
In (0.250, 0.325, 0.000)  0.00

Total magnetization ... 0.52 μB per formula unit
Energy ... -4.40 eV per atom
Space-group type ... P6_3/mcm
Energy relative to the elements ... -342.8 meV per atom



No. 18
Density functional theory data (PBE-GGA) for a geometry-optimized Nd4TmIn3 structure.

Unit cell a=5.498 b=5.498 c=9.695 alpha=73.53 beta=73.53 gamma=60.00
Sites, in units of the cell vectors:
Tm (0.000, 0.000, 0.000)
Nd (0.870, 0.870, 0.391)
Nd (0.381, 0.381, 0.856)
Nd (0.130, 0.130, 0.609)
Nd (0.619, 0.619, 0.144)
In (0.258, 0.258, 0.225)
In (0.742, 0.742, 0.775)
In (0.500, 0.500, 0.500)

Excess energy over the best structure of this formula in the dataset ... 19.4 meV per atom
Total magnetization ... 0.00 μB per formula unit
Energy ... -4.30 eV per atom
Space-group type ... R-3m
Energy relative to the elements ... -328.2 meV per atom



No. 19
Density functional theory data (PBE-GGA) for a geometry-optimized Nd2Tm4In structure.

Unit cell a=11.697 b=6.467 c=6.467 alpha=116.62 beta=90.00 gamma=90.00
Sites, in units of the cell vectors:
Tm (0.741, 0.824, 0.104)
Tm (0.819, 0.853, 0.611)
Tm (0.681, 0.353, 0.611)
Tm (0.759, 0.324, 0.104)
Tm (0.241, 0.676, 0.896)
Tm (0.319, 0.647, 0.389)
Tm (0.181, 0.147, 0.389)
Tm (0.259, 0.176, 0.896)
Nd (0.043, 0.604, 0.285)
Nd (0.957, 0.396, 0.715)
Nd (0.543, 0.896, 0.715)
Nd (0.457, 0.104, 0.285)
In (0.000, 0.000, 0.000)
In (0.500, 0.500, 0.000)

Excess energy over the best structure of this formula in the dataset ... 83.7 meV per atom
Total magnetization ... 0.00 μB per formula unit
Energy ... -4.29 eV per atom
Space-group type ... P2_1/c
Energy relative to the elements ... 17.7 meV per atom



No. 20
Density functional theory data (PBE-GGA) for a geometry-optimized Nd3Tm2In structure.

Unit cell a=3.720 b=8.603 c=11.838 alpha=91.07 beta=90.00 gamma=90.00
Sites, in units of the cell vectors:
Nd (0.750, 0.092, 0.604)
Nd (0.250, 0.908, 0.396)
Nd (0.750, 0.611, 0.248)
Nd (0.250, 0.389, 0.752)
Nd (0.250, 0.343, 0.067)
Nd (0.750, 0.657, 0.933)
Tm (0.250, 0.354, 0.431)
Tm (0.750, 0.646, 0.569)
Tm (0.750, 0.076, 0.891)
Tm (0.250, 0.924, 0.109)
In (0.250, 0.832, 0.743)
In (0.750, 0.168, 0.257)

Excess energy over the best structure of this formula in the dataset ... 35.0 meV per atom
Total magnetization ... 0.10 μB per formula unit
Energy ... -4.45 eV per atom
Space-group type ... P2_1/m
Energy relative to the elements ... -119.4 meV per atom